# 1
# BaNd2In2O7 (GGA-PBEsol, relaxed)
# V (Å³ per atom): 14.80
# E (eV/atom): -7.13
data_BaNd2In2O7
_cell_length_a 5.893
_cell_length_b 5.893
_cell_length_c 20.454
_cell_angle_alpha 90.00
_cell_angle_beta 90.00
_cell_angle_gamma 90.00
_space_group_name_H-M_alt 'P 42/m n m'
_space_group_IT_number 136
_space_group_name_Hall '-P 4n 2n'
loop_
_atom_site_label
_atom_site_type_symbol
_atom_site_fract_x
_atom_site_fract_y
_atom_site_fract_z
Ba1 Ba 0.240 0.240 0.000
Nd1 Nd 0.220 0.220 0.186
In1 In 0.241 0.241 0.397
O1 O 0.000 0.000 0.092
O2 O 0.000 0.000 0.363
O3 O 0.000 0.500 0.118
O4 O 0.179 0.821 0.212
O5 O 0.202 0.202 0.500

# 2
# Dy2C (GGA-PBEsol, relaxed)
# V (Å³ per atom): 21.99
# ΔE_f (eV/f.u.): -0.911
data_Dy2C
_cell_length_a 3.5344
_cell_length_b 3.5344
_cell_length_c 18.2927
_cell_angle_alpha 90.00
_cell_angle_beta 90.00
_cell_angle_gamma 120.00
_space_group_name_H-M_alt 'R -3 m'
_space_group_IT_number 166
_space_group_name_Hall '-R 3 2"'
loop_
_atom_site_label
_atom_site_type_symbol
_atom_site_fract_x
_atom_site_fract_y
_atom_site_fract_z
Dy1 Dy 0.0000 0.0000 0.2398
C1 C 0.0000 0.0000 0.5000

# 3
# TaCrBr2 (GGA-PBEsol, relaxed)
# Offset from the most stable computed form (meV/atom): 911
# V (Å³ per atom): 18.39
data_TaCrBr2
_cell_length_a 6.651
_cell_length_b 6.651
_cell_length_c 6.651
_cell_angle_alpha 90.00
_cell_angle_beta 90.00
_cell_angle_gamma 90.00
_space_group_name_H-M_alt 'F -4 3 m'
_space_group_IT_number 216
_space_group_name_Hall 'F -4 2 3'
loop_
_atom_site_label
_atom_site_type_symbol
_atom_site_fract_x
_atom_site_fract_y
_atom_site_fract_z
Ta1 Ta 0.000 0.000 0.000
Cr1 Cr 0.250 0.250 0.250
Br1 Br 0.000 0.000 0.500
Br2 Br 0.250 0.250 0.750